## Pm4BiPb (PBE)

Data for a relaxed structure of Pm4BiPb.

Properties
- space-group type = C2/c (15)
- D(E_F) (states/eV per atom) = 1.256
- total energy (eV per atom) = -4.88
- calculated density (g/cm³) = 8.50
- formation energy (kcal/mol of atoms) = -10.3

Cell lengths 6.4943, 8.6849, 8.5602 Å; angles 113.17, 103.14, 107.44 degrees
With the nearest neighbours (Å) after each atom.
Sites, in units of the cell vectors:
Pm  0.7717  0.7044  0.6173  2 Pb 3.32-3.33, 2 Bi 3.34-3.47, 4 Pm 3.57-3.71
Pb  0.2518  0.0018  0.0035  8 Pm 3.23-3.33, 2 Pb 3.25
Pm  0.3457  0.9134  0.6174  2 Pb 3.32-3.33, 2 Bi 3.35-3.47, 4 Pm 3.57-3.71
Pb  0.7482  0.9982  0.9965  8 Pm 3.23-3.33, 2 Pb 3.25
Pm  0.6543  0.0866  0.3826  2 Pb 3.32-3.33, 2 Bi 3.35-3.47, 4 Pm 3.57-3.71
Bi  0.6332  0.3832  0.7663  8 Pm 3.34-3.47
Pm  0.2868  0.6109  0.8288  2 Pb 3.23-3.25, 2 Pm 3.30-3.57, 2 Bi 3.36-3.41
Pm  0.7132  0.3891  0.1712  2 Pb 3.23-3.25, 2 Pm 3.30-3.57, 2 Bi 3.36-3.41
Bi  0.3668  0.6168  0.2337  8 Pm 3.34-3.47
Pm  0.0420  0.2182  0.8292  2 Pb 3.23-3.25, 2 Pm 3.30-3.57, 2 Bi 3.36-3.41
Pm  0.2283  0.2956  0.3827  2 Pb 3.32-3.33, 2 Bi 3.34-3.47, 4 Pm 3.57-3.71
Pm  0.9580  0.7818  0.1708  2 Pb 3.23-3.25, 2 Pm 3.30-3.57, 2 Bi 3.36-3.41


## LuAl2Cr (PBE)

Data for a relaxed structure of LuAl2Cr.

Properties
- space-group type = P4/mmm (123)
- D(E_F) (states/eV per atom) = 0.735
- total energy (eV per atom) = -5.55
- calculated density (g/cm³) = 6.60
- formation energy (kcal/mol of atoms) = -3.4

Cell lengths 3.1301, 3.1301, 7.2108 Å; angles 90.00, 90.00, 90.00 degrees
With the nearest neighbours (Å) after each atom.
Sites, in units of the cell vectors:
Cr  0.5000  0.5000  0.0000  8 Al 2.64
Al  0.0000  0.0000  0.2008  4 Cr 2.64, 1 Al 2.90
Al  0.0000  0.0000  0.7992  4 Cr 2.64, 1 Al 2.90
Lu  0.5000  0.5000  0.5000  8 Al 3.09, 4 Lu 3.13


## AcTmGeRu (PBE)

Data for a relaxed structure of AcTmGeRu.

Properties
- space-group type = F-43m (216)
- D(E_F) (states/eV per atom) = 0.573
- total energy (eV per atom) = -5.87
- calculated density (g/cm³) = 9.83
- formation energy (kcal/mol of atoms) = -5.8

Cell lengths 5.1439, 5.1439, 5.1439 Å; angles 60.00, 60.00, 60.00 degrees
With the nearest neighbours (Å) after each atom.
Sites, in units of the cell vectors:
Ge  0.7500  0.7500  0.7500  4 Tm 3.15, 4 Ac 3.15
Ru  0.2500  0.2500  0.2500  4 Ac 3.15, 4 Tm 3.15
Ac  0.5000  0.5000  0.5000  4 Ge 3.15, 4 Ru 3.15
Tm  0.0000  0.0000  0.0000  4 Ge 3.15, 4 Ru 3.15


## K2CdIn (PBE)

Data for a relaxed structure of K2CdIn.

Properties
- space-group type = C2/m (12)
- D(E_F) (states/eV per atom) = 0.791
- total energy (eV per atom) = -1.35
- calculated density (g/cm³) = 3.24
- formation energy (kcal/mol of atoms) = 2.6

Cell lengths 6.0723, 6.0723, 7.5255 Å; angles 83.19, 83.19, 34.66 degrees
With the nearest neighbours (Å) after each atom.
Sites, in units of the cell vectors:
In  0.2500  0.2500  0.2500  2 In 3.62, 6 K 3.63-3.73
Cd  0.7500  0.7500  0.7500  2 Cd 3.62, 6 K 3.66-3.72
K  0.0011  0.0011  0.0013  2 K 3.62, 3 In 3.63-3.73, 3 Cd 3.66-3.72
K  0.4989  0.4989  0.4987  2 K 3.62, 3 In 3.63-3.73, 3 Cd 3.66-3.72


## Pr2HfAl4Au3 (PBE)

Data for a relaxed structure of Pr2HfAl4Au3.

Properties
- space-group type = P-4m2 (115)
- D(E_F) (states/eV per atom) = 0.631
- total energy (eV per atom) = -5.04
- calculated density (g/cm³) = 8.98
- formation energy (kcal/mol of atoms) = -14.1

Cell lengths 4.3424, 4.3424, 11.3614 Å; angles 90.00, 90.00, 90.00 degrees
With the nearest neighbours (Å) after each atom.
Sites, in units of the cell vectors:
Au  0.0000  0.0000  0.5000  4 Al 2.77, 4 Hf 3.07
Al  0.5000  0.0000  0.6518  3 Au 2.53-2.77, 2 Hf 2.77
Al  0.5000  0.5000  0.0000  4 Au 2.60
Pr  0.5000  0.0000  0.2454  8 Al 3.29-3.53, 6 Au 3.36-3.62, 2 Hf 3.62
Pr  0.0000  0.5000  0.7546  8 Al 3.29-3.53, 6 Au 3.36-3.62, 2 Hf 3.62
Al  0.0000  0.0000  0.0000  4 Au 2.60
Au  0.5000  0.0000  0.8747  5 Al 2.53-2.60
Hf  0.5000  0.5000  0.5000  4 Al 2.77, 4 Au 3.07
Al  0.0000  0.5000  0.3482  3 Au 2.53-2.77, 2 Hf 2.77
Au  0.0000  0.5000  0.1253  5 Al 2.53-2.60


## MgFeSb2 (PBE)

Data for a relaxed structure of MgFeSb2.

Properties
- space-group type = Immm (71)
- D(E_F) (states/eV per atom) = 0.831
- total energy (eV per atom) = -4.36
- calculated density (g/cm³) = 6.28
- formation energy (no corrections) (meV/atom) = 218

Cell lengths 5.2605, 5.2605, 5.2605 Å; angles 135.55, 120.34, 77.35 degrees
With the nearest neighbours (Å) after each atom.
Sites, in units of the cell vectors:
Fe  0.2500  0.7500  0.5000  4 Sb 2.74
Sb  0.0202  0.0202  0.0000  2 Fe 2.74, 2 Mg 2.98
Sb  0.4798  0.4798  0.0000  2 Fe 2.74, 2 Mg 2.98
Mg  0.7500  0.2500  0.5000  8 Sb 2.98-3.23, 4 Fe 3.29


## AcTb3Y8 (PBE)

Data for a relaxed structure of AcTb3Y8.

Properties
- space-group type = Immm (71)
- D(E_F) (states/eV per atom) = 1.528
- total energy (eV per atom) = -5.47
- calculated density (g/cm³) = 5.44
- formation energy (kcal/mol of atoms) = 7.8

Cell lengths 8.8072, 8.8073, 8.8073 Å; angles 97.74, 97.53, 137.26 degrees
With the nearest neighbours (Å) after each atom.
Sites, in units of the cell vectors:
Y  0.1718  0.7482  0.9199  6 Y 3.40-3.69, 3 Tb 3.50-3.78, 1 Ac 3.53
Y  0.8282  0.7481  0.5764  6 Y 3.40-3.69, 3 Tb 3.50-3.78, 1 Ac 3.53
Tb  0.0000  0.5000  0.5000  8 Y 3.19-3.50
Y  0.5080  0.2432  0.2648  6 Y 3.12-3.48, 1 Tb 3.19, 1 Ac 3.45
Y  0.8283  0.2519  0.0801  6 Y 3.40-3.69, 3 Tb 3.50-3.78, 1 Ac 3.53
Y  0.9785  0.2433  0.7352  6 Y 3.12-3.48, 1 Tb 3.19, 1 Ac 3.45
Tb  0.5000  0.7646  0.2646  10 Y 3.78-4.16, 2 Tb 4.21
Y  0.4920  0.7567  0.7352  6 Y 3.12-3.48, 1 Tb 3.19, 1 Ac 3.45
Y  0.0216  0.7568  0.2648  6 Y 3.12-3.48, 1 Tb 3.19, 1 Ac 3.45
Y  0.1717  0.2518  0.4236  6 Y 3.40-3.69, 3 Tb 3.50-3.78, 1 Ac 3.53
Ac  0.0000  0.0000  0.0000  8 Y 3.45-3.53
Tb  0.5000  0.2354  0.7354  10 Y 3.78-4.16, 2 Tb 4.21


## LiCa2ReRu (PBE)

Data for a relaxed structure of LiCa2ReRu.

Properties
- space-group type = P4/mmm (123)
- D(E_F) (states/eV per atom) = 1.190
- total energy (eV per atom) = -4.18
- calculated density (g/cm³) = 6.11
- formation energy (kcal/mol of atoms) = 31.1

Cell lengths 4.7993, 4.4170, 4.7993 Å; angles 90.00, 90.00, 90.00 degrees
With the nearest neighbours (Å) after each atom.
Sites, in units of the cell vectors:
Ru  0.5000  0.5000  0.5000  8 Ca 3.26, 4 Re 3.39
Ca  0.0000  0.0000  0.5000  2 Li 2.40
Li  0.0000  0.0000  0.0000  2 Re 2.21, 4 Ca 2.40
Ca  0.5000  0.0000  0.0000  2 Li 2.40
Re  0.0000  0.5000  0.0000  2 Li 2.21


## Tb6Nd7Dy16 (PBE)

Data for a relaxed structure of Tb6Nd7Dy16.

Properties
- space-group type = Fm-3m (225)
- D(E_F) (states/eV per atom) = 1.872
- total energy (eV per atom) = -4.39
- calculated density (g/cm³) = 7.57
- formation energy (kcal/mol of atoms) = 5.8

Cell lengths 11.2273, 11.2273, 11.2273 Å; angles 60.00, 60.00, 60.00 degrees
With the nearest neighbours (Å) after each atom.
Sites, in units of the cell vectors:
Dy  0.6502  0.6502  0.0493  3 Nd 3.27, 3 Dy 3.55, 3 Tb 3.65
Nd  0.5000  0.0000  0.0000  8 Dy 3.27-3.41
Nd  0.0000  0.5000  0.0000  8 Dy 3.27-3.41
Tb  0.2616  0.2616  0.7385  8 Dy 3.57-3.65, 4 Nd 3.97
Dy  0.3498  0.9507  0.3498  3 Nd 3.27, 3 Dy 3.55, 3 Tb 3.65
Tb  0.2616  0.7385  0.2616  8 Dy 3.57-3.65, 4 Nd 3.97
Dy  0.8717  0.8717  0.8717  4 Nd 3.41-3.53, 3 Dy 3.55, 3 Tb 3.57
Nd  0.5000  0.0000  0.5000  8 Dy 3.27-3.41
Dy  0.0493  0.6502  0.6502  3 Nd 3.27, 3 Dy 3.55, 3 Tb 3.65
Nd  0.0000  0.0000  0.0000  8 Dy 3.53
Dy  0.3849  0.8717  0.8717  4 Nd 3.41-3.53, 3 Dy 3.55, 3 Tb 3.57
Dy  0.1283  0.1283  0.6151  4 Nd 3.41-3.53, 3 Dy 3.55, 3 Tb 3.57
Dy  0.3498  0.3498  0.3498  3 Nd 3.27, 3 Dy 3.55, 3 Tb 3.65
Dy  0.1283  0.6151  0.1283  4 Nd 3.41-3.53, 3 Dy 3.55, 3 Tb 3.57
Dy  0.8717  0.8717  0.3849  4 Nd 3.41-3.53, 3 Dy 3.55, 3 Tb 3.57
Tb  0.2616  0.7385  0.7385  8 Dy 3.57-3.65, 4 Nd 3.97
Tb  0.7385  0.2616  0.7385  8 Dy 3.57-3.65, 4 Nd 3.97
Dy  0.8717  0.3849  0.8717  4 Nd 3.41-3.53, 3 Dy 3.55, 3 Tb 3.57
Nd  0.0000  0.0000  0.5000  8 Dy 3.27-3.41
Dy  0.3498  0.3498  0.9507  3 Nd 3.27, 3 Dy 3.55, 3 Tb 3.65
Dy  0.1283  0.1283  0.1283  4 Nd 3.41-3.53, 3 Dy 3.55, 3 Tb 3.57
Nd  0.0000  0.5000  0.5000  8 Dy 3.27-3.41
Tb  0.7385  0.2616  0.2616  8 Dy 3.57-3.65, 4 Nd 3.97
Nd  0.5000  0.5000  0.0000  8 Dy 3.27-3.41
Dy  0.6151  0.1283  0.1283  4 Nd 3.41-3.53, 3 Dy 3.55, 3 Tb 3.57
Dy  0.9507  0.3498  0.3498  3 Nd 3.27, 3 Dy 3.55, 3 Tb 3.65
Tb  0.7385  0.7385  0.2616  8 Dy 3.57-3.65, 4 Nd 3.97
Dy  0.6502  0.0493  0.6502  3 Nd 3.27, 3 Dy 3.55, 3 Tb 3.65
Dy  0.6502  0.6502  0.6502  3 Nd 3.27, 3 Dy 3.55, 3 Tb 3.65


## La3Pr2SmTe6 (PBE)

Data for a relaxed structure of La3Pr2SmTe6.

Properties
- space-group type = C2/m (12)
- D(E_F) (states/eV per atom) = 0.618
- total energy (eV per atom) = -5.50
- calculated density (g/cm³) = 6.74
- formation energy (no corrections) (meV/atom) = -1512

Cell lengths 4.5357, 9.1040, 10.1308 Å; angles 102.54, 102.94, 90.00 degrees
With the nearest neighbours (Å) after each atom.
Sites, in units of the cell vectors:
Te  0.3363  0.9171  0.6725  1 Sm 3.15, 2 Pr 3.21, 3 La 3.23
Pr  0.1670  0.3336  0.3340  6 Te 3.20-3.22
Te  0.6669  0.5817  0.3338  3 Pr 3.20, 3 La 3.21-3.22
Pr  0.8330  0.6664  0.6660  6 Te 3.20-3.22
La  0.5000  0.5000  0.0000  6 Te 3.21-3.25
La  0.1683  0.8332  0.3367  6 Te 3.22-3.24
Te  0.0002  0.7564  0.0004  2 Sm 3.17, 1 Pr 3.22, 3 La 3.24-3.25
Te  0.9998  0.2436  0.9996  2 Sm 3.17, 1 Pr 3.22, 3 La 3.24-3.25
Te  0.3331  0.4183  0.6662  3 Pr 3.20, 3 La 3.21-3.22
Te  0.6637  0.0829  0.3275  1 Sm 3.15, 2 Pr 3.21, 3 La 3.23
La  0.8317  0.1668  0.6633  6 Te 3.22-3.24
Sm  0.5000  0.0000  0.0000  6 Te 3.15-3.17


## TbY2TlC (PBE)

Data for a relaxed structure of TbY2TlC.

Properties
- space-group type = P4/mmm (123)
- D(E_F) (states/eV per atom) = 0.232
- total energy (eV per atom) = -6.30
- calculated density (g/cm³) = 7.62
- formation energy (kcal/mol of atoms) = -10.9

Cell lengths 4.9597, 4.9300, 4.9300 Å; angles 90.00, 90.00, 90.00 degrees
With the nearest neighbours (Å) after each atom.
Sites, in units of the cell vectors:
Tl  0.5000  0.5000  0.5000  4 Tb 3.49, 8 Y 3.50
Tb  0.5000  0.0000  0.0000  2 C 2.48
C  0.0000  0.0000  0.0000  4 Y 2.47, 2 Tb 2.48
Y  0.0000  0.0000  0.5000  2 C 2.47
Y  0.0000  0.5000  0.0000  2 C 2.47


## CoGeW3 (PBE)

Data for a relaxed structure of CoGeW3.

Properties
- space-group type = Pm-3m (221)
- D(E_F) (states/eV per atom) = 0.897
- total energy (eV per atom) = -8.68
- calculated density (g/cm³) = 12.75
- formation energy (kcal/mol of atoms) = 33.1

Cell lengths 4.4644, 4.4644, 4.4644 Å; angles 90.00, 90.00, 90.00 degrees
With the nearest neighbours (Å) after each atom.
Sites, in units of the cell vectors:
W  0.0000  0.5000  0.0000  2 Co 2.23
Co  0.0000  0.0000  0.0000  6 W 2.23
Ge  0.5000  0.5000  0.5000  12 W 3.16
W  0.0000  0.0000  0.5000  2 Co 2.23
W  0.5000  0.0000  0.0000  2 Co 2.23